[1]
First-principles (PBE) data for crystalline YMgNi2 at its relaxed geometry, as listed in the Alexandria database.

The calculation puts the calculated volume at 17.0 Å³ per atom. The calculation puts the density of states at the Fermi level at 15.49 states/eV per cell. Its formation energy is 0.031 eV per atom.

The space group is F-43m (No. 216) and the conventional cell measures 6.482, 6.482 and 6.482 Å, with angles of 90.00, 90.00 and 90.00 degrees. Symmetry generates all atoms from Y at (0.000, 0.000, 0.000), Mg at (0.250, 0.250, 0.250), Ni at (0.000, 0.000, 0.500) and Ni at (0.250, 0.250, 0.750).

[2]
First-principles (PBE) data for crystalline BeVIr2 at its relaxed geometry, as listed in the Alexandria database.

The calculation puts the calculated volume at 17.5 Å³ per atom. The calculation puts the density of states at the Fermi level at 9.67 states/eV per cell. Its formation energy is 0.522 eV per atom.

The space group is I-42d (No. 122) and the conventional cell measures 5.251, 5.251 and 10.160 Å, with angles of 90.00, 90.00 and 90.00 degrees. Symmetry generates all atoms from Be at (0.000, 0.000, 0.000), V at (0.000, 0.000, 0.500) and Ir at (0.219, 0.250, 0.125).

[3]
First-principles (PBE) data for crystalline Be2FeAg at its relaxed geometry, as listed in the Alexandria database.

The calculation puts the calculated volume at 12.1 Å³ per atom. The calculation puts the density of states at the Fermi level at 9.51 states/eV per cell. Its formation energy is 0.511 eV per atom.

The space group is I-42d (No. 122) and the conventional cell measures 6.128, 6.128 and 5.172 Å, with angles of 90.00, 90.00 and 90.00 degrees. Symmetry generates all atoms from Be at (0.235, 0.250, 0.125), Fe at (0.000, 0.000, 0.000) and Ag at (0.000, 0.000, 0.500).

[4]
First-principles (PBE) data for crystalline Sr2LiThSe4 at its relaxed geometry, as listed in the Alexandria database.

The calculation puts the calculated volume at 27.9 Å³ per atom. The calculation puts the density of states at the Fermi level at 2.35 states/eV per cell. The formation energy (no corrections) is -1734.8 meV/atom.

The space group is P2/m (No. 10) and the conventional cell measures 7.380, 4.282 and 7.462 Å, with angles of 90.00, 109.10 and 90.00 degrees. Symmetry generates all atoms from Sr at (0.000, 0.000, 0.000), Sr at (0.500, 0.500, 0.000), Li at (0.000, 0.500, 0.500), Th at (0.500, 0.000, 0.500), Se at (0.246, 0.000, 0.729) and Se at (0.251, 0.500, 0.265).

[5]
First-principles (PBE) data for crystalline ScCdC3 at its relaxed geometry, as listed in the Alexandria database.

The calculation puts the calculated volume at 15.0 Å³ per atom. The calculation puts the density of states at the Fermi level at 3.62 states/eV per cell. Its formation energy is 2.575 eV per atom.

The space group is Pm-3m (No. 221) and the conventional cell measures 4.214, 4.214 and 4.214 Å, with angles of 90.00, 90.00 and 90.00 degrees. Symmetry generates all atoms from Sc at (0.000, 0.000, 0.000), Cd at (0.500, 0.500, 0.500) and C at (0.000, 0.500, 0.500).

[6]
First-principles (PBE) data for crystalline CoHg2Br at its relaxed geometry, as listed in the Alexandria database.

The calculation puts the calculated volume at 24.2 Å³ per atom. The calculation puts the density of states at the Fermi level at 3.76 states/eV per cell. The formation energy (no corrections) is 464.6 meV/atom.

The space group is P4/mmm (No. 123) and the conventional cell measures 4.016, 4.016 and 6.002 Å, with angles of 90.00, 90.00 and 90.00 degrees. Symmetry generates all atoms from Co at (0.000, 0.000, 0.000), Hg at (0.000, 0.500, 0.500) and Br at (0.500, 0.500, 0.000).

[7]
First-principles (PBE) data for crystalline Cs2InSiBr6 at its relaxed geometry, as listed in the Alexandria database.

The calculation puts the calculated volume at 35.9 Å³ per atom. The calculation puts the density of states at the Fermi level at 5.56 states/eV per cell. The formation energy (no corrections) is -1074.7 meV/atom.

The space group is I4/mmm (No. 139) and the conventional cell measures 7.991, 7.991 and 11.240 Å, with angles of 90.00, 90.00 and 90.00 degrees. Symmetry generates all atoms from Cs at (0.000, 0.500, 0.250), In at (0.000, 0.000, 0.000), Si at (0.000, 0.000, 0.500), Br at (0.000, 0.000, 0.265) and Br at (0.234, 0.234, 0.500).

[8]
First-principles (PBE) data for crystalline Sr2LiMgF6 at its relaxed geometry, as listed in the Alexandria database.

The calculation puts the calculated volume at 13.5 Å³ per atom. The calculation puts the density of states at the Fermi level at 3.82 states/eV per cell. The formation energy (no corrections) is -3210.6 meV/atom.

The space group is I4/mmm (No. 139) and the conventional cell measures 5.751, 5.751 and 8.161 Å, with angles of 90.00, 90.00 and 90.00 degrees. Symmetry generates all atoms from Sr at (0.000, 0.500, 0.250), Li at (0.000, 0.000, 0.000), Mg at (0.000, 0.000, 0.500), F at (0.000, 0.000, 0.253) and F at (0.247, 0.247, 0.500).

[9]
First-principles (PBE) data for crystalline NdGa2NiPd2 at its relaxed geometry, as listed in the Alexandria database.

The calculation puts the calculated volume at 18.8 Å³ per atom. The calculation puts the density of states at the Fermi level at 2.51 states/eV per cell. Its formation energy is -0.506 eV per atom.

The space group is P4/mmm (No. 123) and the conventional cell measures 4.531, 4.531 and 5.509 Å, with angles of 90.00, 90.00 and 90.00 degrees. Symmetry generates all atoms from Nd at (0.000, 0.000, 0.000), Ga at (0.000, 0.500, 0.500), Ni at (0.000, 0.000, 0.500) and Pd at (0.500, 0.500, 0.243).

[10]
First-principles (PBE) data for crystalline TaBi at its relaxed geometry, as listed in the Alexandria database.

The calculation puts the calculated volume at 23.8 Å³ per atom. The calculation puts the density of states at the Fermi level at 3.52 states/eV per cell. Its formation energy is 0.817 eV per atom.

The space group is P6_3mc (No. 186) and the conventional cell measures 3.2083, 3.2083 and 10.6973 Å, with angles of 90.00, 90.00 and 120.00 degrees. Symmetry generates all atoms from Ta at (0.3333, 0.6667, 0.0000) and Bi at (0.3333, 0.6667, 0.2747).

[11]
First-principles (PBE) data for crystalline Pm12Sm5Dy2 at its relaxed geometry, as listed in the Alexandria database.

The calculation puts the calculated volume at 34.4 Å³ per atom. The calculation puts the density of states at the Fermi level at 49.42 states/eV per cell. Its formation energy is 0.117 eV per atom.

The space group is C2/m (No. 12) and the conventional cell measures 15.945, 9.320 and 8.816 Å, with angles of 90.00, 92.83 and 90.00 degrees. Symmetry generates all atoms from Pm at (0.058, 0.000, 0.343), Pm at (0.073, 0.500, 0.879), Pm at (0.131, 0.196, 0.681), Pm at (0.148, 0.319, 0.239), Sm at (0.000, 0.500, 0.500), Sm at (0.207, 0.000, 0.031), Sm at (0.232, 0.500, 0.568) and Dy at (0.000, 0.170, 0.000).

[12]
First-principles (PBE) data for crystalline TmZrFeNi at its relaxed geometry, as listed in the Alexandria database.

The calculation puts the calculated volume at 17.0 Å³ per atom. The calculation puts the density of states at the Fermi level at 11.86 states/eV per cell. Its formation energy is -0.200 eV per atom.

The space group is F-43m (No. 216) and the conventional cell measures 6.482, 6.482 and 6.482 Å, with angles of 90.00, 90.00 and 90.00 degrees. Symmetry generates all atoms from Tm at (0.000, 0.000, 0.000), Zr at (0.000, 0.000, 0.500), Fe at (0.250, 0.250, 0.250) and Ni at (0.250, 0.250, 0.750).

Q: What is the formula in the sixth record?
A: CoHg2Br